Cd2CoHgPb: relaxed, PBE.

E_form (eV/atom): 0.216
Total moment (μB per formula unit): 0.00
V (Å³/cell): 129.3

Cell: 5.117 5.117 4.938 Å, 90.00 90.00 90.00°
Atoms (fractional coordinates):
Cd 0.000 0.500 0.000
Cd 0.500 0.000 0.000
Co 0.000 0.000 0.000
Hg 0.500 0.500 0.500
Pb 0.000 0.000 0.500

RbCd2CoHg: relaxed, PBE.

E_form (eV/atom): 0.542
Total moment (μB per formula unit): 1.91
Offset from the most stable computed form (eV per atom): 0.000
V (Å³/cell): 158.3

Cell: 5.513 5.513 5.206 Å, 90.00 90.00 90.00°
Atoms (fractional coordinates):
Rb 0.000 0.000 0.000
Cd 0.000 0.500 0.500
Cd 0.500 0.000 0.500
Co 0.500 0.500 0.000
Hg 0.500 0.500 0.500

RbCd2CoHg: relaxed, PBE.

E_form (eV/atom): 1.044
Total moment (μB per formula unit): 2.00
Offset from the most stable computed form (eV per atom): 0.503
V (Å³/cell): 341.7

Cell: 7.340 7.340 6.343 Å, 90.00 90.00 90.00°
Atoms (fractional coordinates):
Rb 0.000 0.000 0.000
Cd 0.000 0.500 0.000
Cd 0.500 0.000 0.000
Co 0.000 0.000 0.500
Hg 0.500 0.500 0.500

Cd2CoHgSb: relaxed, PBE.

Total moment (μB per formula unit): 0.00
Formation energy without anion corrections (meV/atom): 107.1
V (Å³/cell): 124.2

Cell: 5.166 5.166 4.651 Å, 90.00 90.00 90.00°
Atoms (fractional coordinates):
Cd 0.000 0.500 0.000
Cd 0.500 0.000 0.000
Co 0.000 0.000 0.000
Hg 0.500 0.500 0.500
Sb 0.000 0.000 0.500

CdCo2HgTe: relaxed, PBE.

Total moment (μB per formula unit): 3.99
Formation energy without anion corrections (meV/atom): 1243.5
V (Å³/cell): 136.1

Cell: 4.902 4.902 5.666 Å, 90.00 90.00 90.00°
Atoms (fractional coordinates):
Cd 0.000 0.000 0.000
Co 0.000 0.500 0.500
Co 0.500 0.000 0.500
Hg 0.500 0.500 0.500
Te 0.500 0.500 0.000

Th2CdCoHg: relaxed, PBE.

E_form (eV/atom): -0.161
Total moment (μB per formula unit): 0.00
V (Å³/cell): 263.0

Cell: 8.417 3.801 8.767 Å, 90.00 110.34 90.00°
Atoms (fractional coordinates):
Th 0.123 0.250 0.394
Th 0.207 0.250 0.015
Th 0.793 0.750 0.985
Th 0.877 0.750 0.606
Cd 0.315 0.750 0.744
Cd 0.685 0.250 0.256
Co 0.134 0.750 0.198
Co 0.866 0.250 0.802
Hg 0.463 0.750 0.350
Hg 0.537 0.250 0.650

Tl2CdCoHg: relaxed, PBE.

E_form (eV/atom): 0.189
Total moment (μB per formula unit): 0.00
V (Å³/cell): 133.2

Cell: 5.090 5.090 5.143 Å, 90.00 90.00 90.00°
Atoms (fractional coordinates):
Tl 0.000 0.500 0.000
Tl 0.500 0.000 0.000
Cd 0.000 0.000 0.500
Co 0.000 0.000 0.000
Hg 0.500 0.500 0.500

Ho3CdCo: relaxed, PBE.

E_form (eV/atom): -0.212
Total moment (μB per formula unit): 0.10
Offset from the most stable computed form (eV per atom): 0.000
V (Å³/cell): 243.4

Cell: 9.299 8.579 5.759 Å, 78.16 64.54 37.31°
Atoms (fractional coordinates):
Ho 0.195 0.577 0.423
Ho 0.202 0.202 0.798
Ho 0.423 0.805 0.195
Ho 0.577 0.195 0.805
Ho 0.798 0.798 0.202
Ho 0.805 0.423 0.577
Cd 0.213 0.787 0.787
Cd 0.787 0.213 0.213
Co 0.250 0.250 0.250
Co 0.750 0.750 0.750

Ho3CdCo: relaxed, PBE.

E_form (eV/atom): -0.192
Total moment (μB per formula unit): 0.00
Offset from the most stable computed form (eV per atom): 0.020
V (Å³/cell): 250.2

Cell: 6.975 4.680 8.192 Å, 90.00 110.68 90.00°
Atoms (fractional coordinates):
Ho 0.061 0.250 0.269
Ho 0.300 0.250 0.917
Ho 0.339 0.750 0.593
Ho 0.661 0.250 0.407
Ho 0.700 0.750 0.083
Ho 0.939 0.750 0.731
Cd 0.297 0.750 0.178
Cd 0.703 0.250 0.822
Co 0.073 0.250 0.594
Co 0.927 0.750 0.406

Ho5CdCo: relaxed, PBE.

E_form (eV/atom): -0.052
Total moment (μB per formula unit): 0.00
V (Å³/cell): 373.8

Cell: 5.855 5.855 11.723 Å, 103.36 103.36 76.71°
Atoms (fractional coordinates):
Ho 0.011 0.989 0.750
Ho 0.080 0.402 0.623
Ho 0.203 0.550 0.932
Ho 0.402 0.080 0.123
Ho 0.450 0.797 0.568
Ho 0.550 0.203 0.432
Ho 0.598 0.920 0.877
Ho 0.797 0.450 0.068
Ho 0.920 0.598 0.377
Ho 0.989 0.011 0.250
Cd 0.403 0.597 0.250
Cd 0.597 0.403 0.750
Co 0.000 0.000 0.000
Co 0.000 0.000 0.500

Ho4CdCo: relaxed, PBE.

E_form (eV/atom): -0.193
Total moment (μB per formula unit): 0.00
Offset from the most stable computed form (eV per atom): 0.064
V (Å³/cell): 312.9

Cell: 7.616 7.616 5.992 Å, 99.47 99.47 109.99°
Atoms (fractional coordinates):
Ho 0.060 0.731 0.956
Ho 0.200 0.367 0.608
Ho 0.269 0.940 0.544
Ho 0.367 0.200 0.108
Ho 0.633 0.800 0.892
Ho 0.731 0.060 0.456
Ho 0.800 0.633 0.392
Ho 0.940 0.269 0.044
Cd 0.375 0.625 0.250
Cd 0.625 0.375 0.750
Co 0.001 0.999 0.750
Co 0.999 0.001 0.250

Ho7Cd2Co2: relaxed, PBE.

E_form (eV/atom): -0.192
Total moment (μB per formula unit): 0.00
Offset from the most stable computed form (eV per atom): 0.000
V (Å³/cell): 282.6

Cell: 9.725 9.725 9.725 Å, 158.87 63.39 121.01°
Atoms (fractional coordinates):
Ho 0.000 0.000 0.000
Ho 0.061 0.377 0.683
Ho 0.078 0.728 0.350
Ho 0.379 0.728 0.650
Ho 0.427 0.567 0.859
Ho 0.694 0.377 0.317
Ho 0.708 0.567 0.141
Cd 0.340 0.340 0.000
Cd 0.722 0.222 0.500
Co 0.319 0.080 0.239
Co 0.840 0.080 0.761

no.,calculated total energy (eV/atom)
1,-2.373
2,-1.500
3,-0.997
4,-2.565
5,-2.471
6,-4.794
7,-2.422
8,-4.563
9,-4.543
10,-4.468
11,-4.582
12,-4.563